# TaGaPd2 (PBE, relaxed)
# Calculated total energy   -105.66 eV for the cell shown
data_TaGaPd2
_cell_length_a 6.3172
_cell_length_b 6.3172
_cell_length_c 6.3172
_cell_angle_alpha 90.00
_cell_angle_beta 90.00
_cell_angle_gamma 90.00
_symmetry_space_group_name_H-M 'F -4 3 m'
_symmetry_Int_Tables_number 216
_symmetry_space_group_name_Hall 'F -4 2 3'
loop_
_atom_site_label
_atom_site_type_symbol
_atom_site_fract_x
_atom_site_fract_y
_atom_site_fract_z
_atom_site_occupancy
Ta1 Ta 0.0000 0.0000 0.0000 1
Ga1 Ga 0.2500 0.2500 0.7500 1
Pd1 Pd 0.0000 0.0000 0.5000 1
Pd2 Pd 0.2500 0.2500 0.2500 1


# Ta2GaPd (PBE, relaxed)
# Calculated total energy   -126.28 eV for the cell shown
data_Ta2GaPd
_cell_length_a 6.4784
_cell_length_b 6.4784
_cell_length_c 6.4784
_cell_angle_alpha 90.00
_cell_angle_beta 90.00
_cell_angle_gamma 90.00
_symmetry_space_group_name_H-M 'F -4 3 m'
_symmetry_Int_Tables_number 216
_symmetry_space_group_name_Hall 'F -4 2 3'
loop_
_atom_site_label
_atom_site_type_symbol
_atom_site_fract_x
_atom_site_fract_y
_atom_site_fract_z
_atom_site_occupancy
Ta1 Ta 0.0000 0.0000 0.0000 1
Ta2 Ta 0.2500 0.2500 0.2500 1
Ga1 Ga 0.0000 0.0000 0.5000 1
Pd1 Pd 0.2500 0.2500 0.7500 1


# TbGa2Pd2 (PBE, relaxed)
# Calculated total energy   -49.83 eV for the cell shown
data_TbGa2Pd2
_cell_length_a 4.2335
_cell_length_b 4.2335
_cell_length_c 10.4478
_cell_angle_alpha 90.00
_cell_angle_beta 90.00
_cell_angle_gamma 90.00
_symmetry_space_group_name_H-M 'I 4/m m m'
_symmetry_Int_Tables_number 139
_symmetry_space_group_name_Hall '-I 4 2'
loop_
_atom_site_label
_atom_site_type_symbol
_atom_site_fract_x
_atom_site_fract_y
_atom_site_fract_z
_atom_site_occupancy
Tb1 Tb 0.0000 0.0000 0.0000 1
Ga1 Ga 0.0000 0.0000 0.3807 1
Pd1 Pd 0.0000 0.5000 0.2500 1


# Tb3Ga4Pd2 (PBE, relaxed)
# Calculated total energy   -87.49 eV for the cell shown
data_Tb3Ga4Pd2
_cell_length_a 10.6966
_cell_length_b 4.4109
_cell_length_c 8.5151
_cell_angle_alpha 90.00
_cell_angle_beta 113.62
_cell_angle_gamma 90.00
_symmetry_space_group_name_H-M 'C 1 2/m 1'
_symmetry_Int_Tables_number 12
loop_
_symmetry_equiv_pos_as_xyz
'x,y,z'
'-x,-y,-z'
'-x,y,-z'
'x,-y,z'
'x+1/2,y+1/2,z'
'-x+1/2,-y+1/2,-z'
'-x+1/2,y+1/2,-z'
'x+1/2,-y+1/2,z'
loop_
_atom_site_label
_atom_site_type_symbol
_atom_site_fract_x
_atom_site_fract_y
_atom_site_fract_z
_atom_site_occupancy
Tb1 Tb 0.0000 0.0000 0.0000 1
Tb2 Tb 0.1790 0.5000 0.6446 1
Ga1 Ga 0.0205 0.0000 0.3592 1
Ga2 Ga 0.2436 0.5000 0.0825 1
Pd1 Pd 0.0985 0.5000 0.2665 1


# TbGa2Pd (PBE, relaxed)
# Calculated total energy   -75.26 eV for the cell shown
data_TbGa2Pd
_cell_length_a 4.2157
_cell_length_b 18.3452
_cell_length_c 4.1279
_cell_angle_alpha 90.00
_cell_angle_beta 90.00
_cell_angle_gamma 90.00
_symmetry_space_group_name_H-M 'C m m m'
_symmetry_Int_Tables_number 65
_symmetry_space_group_name_Hall '-C 2 2'
loop_
_atom_site_label
_atom_site_type_symbol
_atom_site_fract_x
_atom_site_fract_y
_atom_site_fract_z
_atom_site_occupancy
Tb1 Tb 0.0000 0.1451 0.0000 1
Ga1 Ga 0.0000 0.0000 0.5000 1
Ga2 Ga 0.0000 0.2852 0.5000 1
Ga3 Ga 0.0000 0.5000 0.0000 1
Pd1 Pd 0.0000 0.4194 0.5000 1


# TbGa2Pd (PBE, relaxed)
# Calculated total energy   -76.32 eV for the cell shown
data_TbGa2Pd
_cell_length_a 4.4438
_cell_length_b 10.1837
_cell_length_c 6.6470
_cell_angle_alpha 90.00
_cell_angle_beta 90.00
_cell_angle_gamma 90.00
_symmetry_space_group_name_H-M 'C m c m'
_symmetry_Int_Tables_number 63
_symmetry_space_group_name_Hall '-C 2c 2'
loop_
_atom_site_label
_atom_site_type_symbol
_atom_site_fract_x
_atom_site_fract_y
_atom_site_fract_z
_atom_site_occupancy
Tb1 Tb 0.0000 0.0885 0.2500 1
Ga1 Ga 0.0000 0.3722 0.0536 1
Pd1 Pd 0.0000 0.2007 0.7500 1